Record 1
Compound: LiAlIn2
Source: the Alexandria database
Functional: PBEsol
Structure: relaxed

Properties
Formation energy from the elements: -9 kJ per mole of atoms
Calculated density: 5.43 g cm⁻³

a = 4.363 Å, b = 4.363 Å, c = 8.467 Å
α = 90.00°, β = 90.00°, γ = 90.00°
Space group I4/mmm (No. 139)
Inequivalent atoms, fractional coordinates:
Li 0.000 0.000 0.000
Al 0.000 0.000 0.500
In 0.000 0.500 0.250

Record 2
Compound: LiAlIn2
Source: the Alexandria database
Functional: PBEsol
Structure: relaxed

Properties
Formation energy from the elements: -9 kJ per mole of atoms
Calculated density: 5.43 g cm⁻³

a = 3.139 Å, b = 4.141 Å, c = 6.204 Å
α = 90.00°, β = 90.00°, γ = 90.00°
Space group Pmmm (No. 47)
Inequivalent atoms, fractional coordinates:
Li 0.000 0.000 0.000
Al 0.000 0.000 0.500
In 0.500 0.500 0.248

Record 3
Compound: LiAlIn2
Source: the Alexandria database
Functional: PBEsol
Structure: relaxed

Properties
Formation energy from the elements: -8 kJ per mole of atoms
Calculated density: 5.40 g cm⁻³

a = 4.232 Å, b = 4.232 Å, c = 9.050 Å
α = 90.00°, β = 90.00°, γ = 90.00°
Space group I-4m2 (No. 119)
Inequivalent atoms, fractional coordinates:
Li 0.000 0.000 0.000
Al 0.000 0.500 0.250
In 0.000 0.000 0.500
In 0.000 0.500 0.750

Record 4
Compound: Sr2LiAlIn
Source: the Alexandria database
Functional: PBEsol
Structure: relaxed

Properties
Formation energy from the elements: 11 kJ per mole of atoms
Calculated density: 3.43 g cm⁻³

a = 5.748 Å, b = 5.748 Å, c = 4.744 Å
α = 90.00°, β = 90.00°, γ = 90.00°
Space group P4/mmm (No. 123)
Inequivalent atoms, fractional coordinates:
Sr 0.000 0.500 0.000
Li 0.000 0.000 0.000
Al 0.000 0.000 0.500
In 0.500 0.500 0.500

Summary of magnetic moment in μB/f.u.
0.0, 0.0, 0.0, 0.0
(order as listed above)
Summary of E_tot in Ry/atom
-0.228, -0.227, -0.227, -0.179
(order as listed above)